# 1
Below is a relaxed Tb9HoEr2 crystal, with properties calculated at the PBE level.

**Formation energy**: 0.02 eV/atom
**Total magnetization**: 0.00 μB per cell
**Energy above the most stable polymorph in this dataset**: 0.000 eV per atom

Cell: 5.0098 5.0098 15.0207 Å, 90.00 90.00 90.00°
Last column: nearest neighbours and their distance in Å.
Space group P4/mmm (No. 123)
Symmetry-distinct sites (fractional):
Tb: 0.0000 0.0000 0.0000 x1  4 Ho 3.54, 8 Tb 3.54
Tb: 0.0000 0.0000 0.3335 x2  8 Tb 3.54, 4 Er 3.54
Tb: 0.0000 0.5000 0.1668 x4  2 Er 3.54, 8 Tb 3.54, 2 Ho 3.54
Tb: 0.0000 0.5000 0.5000 x2  8 Tb 3.54, 4 Er 3.54
Ho: 0.5000 0.5000 0.0000 x1  12 Tb 3.54
Er: 0.5000 0.5000 0.3334 x2  12 Tb 3.54


# 2
Below is a relaxed LaHo12Sc6 crystal, with properties calculated at the PBE level.

**Formation energy**: 0.25 eV/atom
**Total magnetization**: 0.00 μB per cell
**Energy above the most stable polymorph in this dataset**: 0.000 eV per atom

Cell: 10.4178 10.4178 10.4178 Å, 90.00 90.00 90.00°
Last column: nearest neighbours and their distance in Å.
Space group Im-3 (No. 204)
Symmetry-distinct sites (fractional):
La: 0.0000 0.0000 0.0000 x2  12 Ho 3.46
Ho: 0.0000 0.1974 0.2671 x24  1 Sc 2.97
Sc: 0.0000 0.3623 0.5000 x12  1 Sc 2.87, 2 Ho 2.97


# 3
Below is a relaxed LaPr2H crystal, with properties calculated at the PBE level.

**Total magnetization**: 0.00 μB per cell
**Energy above the most stable polymorph in this dataset**: 0.009 eV per atom

Cell: 3.7497 3.7497 27.1186 Å, 90.00 90.00 120.00°
Last column: nearest neighbours and their distance in Å.
Space group R3m (No. 160, hexagonal axes)
Symmetry-distinct sites (fractional):
La: 0.0000 0.0000 0.0000 x3  6 Pr 3.71-3.78, 6 La 3.75
Pr: 0.0000 0.0000 0.2220 x3  3 H 2.61
Pr: 0.0000 0.0000 0.4477 x3  3 H 2.61
H: 0.0000 0.0000 0.8348 x3  6 Pr 2.61


# 4
Below is a relaxed KTa3W crystal, with properties calculated at the PBE level.

**Formation energy**: 1.61 eV/atom
**Total magnetization**: 0.00 μB per cell
**Energy above the most stable polymorph in this dataset**: 0.000 eV per atom

Cell: 5.0246 5.0246 5.0246 Å, 90.00 90.00 90.00°
Last column: nearest neighbours and their distance in Å.
Space group Pm-3m (No. 221)
Symmetry-distinct sites (fractional):
K: 0.0000 0.0000 0.0000 x1  12 Ta 3.55
Ta: 0.0000 0.5000 0.5000 x3  2 W 2.51
W: 0.5000 0.5000 0.5000 x1  6 Ta 2.51


# 5
Below is a relaxed Sr3Li3Hg2 crystal, with properties calculated at the PBE level.

**Formation energy**: -0.29 eV/atom
**Total magnetization**: 0.00 μB per cell

Cell: 8.8226 17.3140 6.4365 Å, 90.00 90.00 90.00°
Last column: nearest neighbours and their distance in Å.
Space group Pnma (No. 62)
Symmetry-distinct sites (fractional):
Sr: 0.0370 0.1070 0.1209 x8  3 Hg 3.43-3.49, 7 Li 3.51-3.76
Sr: 0.1749 0.2500 0.6354 x4  5 Li 3.37-3.74, 4 Hg 3.46-3.57
Li: 0.1659 0.7500 0.6106 x4  2 Hg 2.92
Li: 0.1716 0.0344 0.6017 x8  3 Hg 2.84-2.88
Hg: 0.1163 0.6070 0.3791 x8  4 Li 2.84-2.92


# 6
Below is a relaxed ReAs2SeN crystal, with properties calculated at the PBE level.

**Formation energy without anion corrections**: 1.158 eV/atom
**Total magnetization**: 0.43 μB per cell
**Energy above the most stable polymorph in this dataset**: 0.000 eV per atom

Cell: 4.1693 4.1693 4.3481 Å, 90.00 90.00 90.00°
Last column: nearest neighbours and their distance in Å.
Space group P4/mmm (No. 123)
Symmetry-distinct sites (fractional):
Re: 0.0000 0.0000 0.0000 x1  4 Se 2.95, 8 As 3.01
As: 0.0000 0.5000 0.5000 x2  2 N 2.08
Se: 0.5000 0.5000 0.0000 x1  2 N 2.17
N: 0.5000 0.5000 0.5000 x1  4 As 2.08, 2 Se 2.17


# 7
Below is a relaxed LaBi4 crystal, with properties calculated at the PBE level.

**Formation energy**: 0.60 eV/atom
**Total magnetization**: 0.00 μB per cell

Cell: 6.1110 6.1110 6.1110 Å, 90.00 90.00 90.00°
Last column: nearest neighbours and their distance in Å.
Space group Pm-3m (No. 221)
Symmetry-distinct sites (fractional):
La: 0.0000 0.0000 0.0000 x1  6 Bi 3.06
Bi: 0.0000 0.0000 0.5000 x3  2 La 3.06
Bi: 0.5000 0.5000 0.5000 x1  12 Bi 4.32


# 8
Below is a relaxed Sm4EuEr crystal, with properties calculated at the PBE level.

**Formation energy**: 0.24 eV/atom
**Total magnetization**: 29.01 μB per cell

Cell: 9.5338 9.5338 9.5338 Å, 90.00 90.00 90.00°
Last column: nearest neighbours and their distance in Å.
Space group F-43m (No. 216)
Symmetry-distinct sites (fractional):
Sm: 0.1229 0.1229 0.3771 x16  6 Sm 3.31-3.43
Eu: 0.0000 0.0000 0.0000 x4  12 Sm 3.96, 4 Er 4.13
Er: 0.2500 0.2500 0.7500 x4  12 Sm 3.95, 4 Eu 4.13